1.
A plane-wave DFT calculation with GGA-PBEsol was carried out for crystalline Ta3Re2 at its relaxed geometry.

Unit cell a=3.0093 b=3.0093 c=31.9204 alpha=90.00 beta=90.00 gamma=120.00
Closest atoms and distances in Å follow each position.
Sites, in units of the cell vectors:
Ta1 0.0000 0.0000 0.0000  6 Re 2.71, 6 Ta 3.01
Ta2 0.0000 0.0000 0.2024  3 Re 2.72, 9 Ta 2.87-3.01
Ta3 0.0000 0.0000 0.7976  3 Re 2.72, 9 Ta 2.87-3.01
Ta4 0.3333 0.6667 0.4642  3 Re 2.72, 9 Ta 2.87-3.01
Ta5 0.3333 0.6667 0.6667  6 Re 2.71, 6 Ta 3.01
Ta6 0.3333 0.6667 0.8691  3 Re 2.72, 9 Ta 2.87-3.01
Ta7 0.6667 0.3333 0.1309  3 Re 2.72, 9 Ta 2.87-3.01
Ta8 0.6667 0.3333 0.3333  6 Re 2.71, 6 Ta 3.01
Ta9 0.6667 0.3333 0.5358  3 Re 2.72, 9 Ta 2.87-3.01
Re1 0.0000 0.0000 0.3987  6 Ta 2.71-2.72, 6 Re 3.01
Re2 0.0000 0.0000 0.6013  6 Ta 2.71-2.72, 6 Re 3.01
Re3 0.3333 0.6667 0.0653  6 Ta 2.71-2.72, 6 Re 3.01
Re4 0.3333 0.6667 0.2680  6 Ta 2.71-2.72, 6 Re 3.01
Re5 0.6667 0.3333 0.7320  6 Ta 2.71-2.72, 6 Re 3.01
Re6 0.6667 0.3333 0.9347  6 Ta 2.71-2.72, 6 Re 3.01

Summary:
- final energy (eV for the cell shown) = -191.4
- ΔE_f (eV per atom) = 0.101
- N(E_F) (states/eV per cell) = 10.481



2.
A plane-wave DFT calculation with GGA-PBEsol was carried out for crystalline NiAu3C at its relaxed geometry.

Unit cell a=4.6161 b=4.6161 c=4.6161 alpha=90.00 beta=90.00 gamma=90.00
Closest atoms and distances in Å follow each position.
Sites, in units of the cell vectors:
Ni1 0.0000 0.0000 0.0000  6 Au 2.31
Au1 0.0000 0.0000 0.5000  2 Ni 2.31
Au2 0.0000 0.5000 0.0000  2 Ni 2.31
Au3 0.5000 0.0000 0.0000  2 Ni 2.31
C1 0.5000 0.5000 0.5000  12 Au 3.26

Summary:
- final energy (eV for the cell shown) = -16.7
- ΔE_f (eV per atom) = 2.184
- N(E_F) (states/eV per cell) = 8.314



3.
A plane-wave DFT calculation with GGA-PBEsol was carried out for crystalline KLa2Cd at its relaxed geometry.

Unit cell a=3.7512 b=3.7512 c=10.3332 alpha=90.00 beta=90.00 gamma=90.00
Closest atoms and distances in Å follow each position.
Sites, in units of the cell vectors:
K1 0.0000 0.0000 0.0000  4 Cd 3.64, 4 K 3.75
La1 0.0000 0.0000 0.5737  4 Cd 3.27, 4 La 3.59
La2 0.5000 0.5000 0.3403  8 La 3.59-3.75
Cd1 0.5000 0.5000 0.7590  4 La 3.27, 4 K 3.64

Summary:
- final energy (eV for the cell shown) = -12.8
- ΔE_f (eV per atom) = 0.057
- N(E_F) (states/eV per cell) = 4.809



4.
A plane-wave DFT calculation with GGA-PBEsol was carried out for crystalline CaPdBr2 at its relaxed geometry.

Unit cell a=5.1237 b=5.1237 c=16.0164 alpha=90.00 beta=90.00 gamma=90.00
Closest atoms and distances in Å follow each position.
Sites, in units of the cell vectors:
Ca1 0.0000 0.0000 0.0000  4 Br 2.78
Ca2 0.0000 0.5000 0.2500  4 Br 2.78
Ca3 0.5000 0.0000 0.7500  4 Br 2.78
Ca4 0.5000 0.5000 0.5000  4 Br 2.78
Pd1 0.0000 0.0000 0.5000  4 Br 2.63
Pd2 0.0000 0.5000 0.7500  4 Br 2.63
Pd3 0.5000 0.0000 0.2500  4 Br 2.63
Pd4 0.5000 0.5000 0.0000  4 Br 2.63
Br1 0.2201 0.2500 0.6250  2 Pd 2.63, 2 Ca 2.78
Br2 0.2500 0.7201 0.8750  2 Pd 2.63, 2 Ca 2.78
Br3 0.2500 0.7799 0.3750  2 Pd 2.63, 2 Ca 2.78
Br4 0.2799 0.2500 0.1250  2 Pd 2.63, 2 Ca 2.78
Br5 0.7201 0.7500 0.1250  2 Pd 2.63, 2 Ca 2.78
Br6 0.7500 0.2201 0.3750  2 Pd 2.63, 2 Ca 2.78
Br7 0.7500 0.2799 0.8750  2 Pd 2.63, 2 Ca 2.78
Br8 0.7799 0.7500 0.6250  2 Pd 2.63, 2 Ca 2.78

Summary:
- ΔE_f (raw) (eV/atom) = -0.948
- final energy (eV for the cell shown) = -62.5